{"formula": "SrLiSiPd", "functional": "PBE", "state": "optimized geometry", "lattice_angstrom": [[7.487, 0.000, 0.000], [0.000, 4.333, 0.000], [-2.501, 0.000, 5.335]], "species": ["Sr", "Sr", "Li", "Li", "Si", "Si", "Pd", "Pd"], "fractional_positions": [[0.000, 0.000, 0.000], [0.500, 0.500, 0.000], [0.310, 0.500, 0.430], [0.810, 0.000, 0.430], [0.024, 0.500, 0.572], [0.524, 0.000, 0.572], [0.197, 0.000, 0.591], [0.697, 0.500, 0.591]], "total_magnetization_mub_per_cell": 0.00, "n_ef_per_ev_atom": 0.351, "volume_a3_per_atom": 21.633, "e_form_raw_ev_per_atom": -0.5781, "total_energy_ev_per_atom": -4.131}